Zr2PtAu: optimized geometry, PBE. Values from VASP.

Quantum ESPRESSO input file:
```
&SYSTEM
  ibrav = 0, nat = 4, ntyp = 3
/
ATOMIC_SPECIES
Zr 91.22 Zr.upf
Pt 195.08 Pt.upf
Au 196.97 Au.upf
CELL_PARAMETERS angstrom
-3.129 -0.926 -1.354
0.931 -3.404 0.177
-2.413 -0.357 5.821
ATOMIC_POSITIONS crystal
Zr 0.000 0.000 0.965
Zr 0.500 0.500 0.276
Pt 0.500 0.500 0.763
Au 0.000 0.000 0.496
```

Uncorrected energy in eV per atom: -7.30

***

GdLuMgPt: optimized geometry, PBE. Values from VASP.

Quantum ESPRESSO input file:
```
&SYSTEM
  ibrav = 0, nat = 4, ntyp = 4
/
ATOMIC_SPECIES
Pt 195.08 Pt.upf
Mg 24.30 Mg.upf
Lu 174.97 Lu.upf
Gd 157.25 Gd.upf
CELL_PARAMETERS angstrom
-1.413 -1.505 4.618
-4.611 -1.947 0.725
-0.535 -4.929 1.000
ATOMIC_POSITIONS crystal
Pt 0.000 0.000 0.000
Mg 0.500 0.500 0.500
Lu 0.250 0.250 0.250
Gd 0.750 0.750 0.750
```

Uncorrected energy in eV per atom: -7.16